[1]
Here is Ba2BeTl at its PBEsol-relaxed geometry from Alexandria. Energies are from SCAN.

Unit cell a=3.954 b=5.739 c=6.491 alpha=116.24 beta=107.74 gamma=90.00
Fractional coordinates of all 4 atoms:
Ba 0.793 0.793 0.586
Ba 0.974 0.474 0.947
Be 0.545 0.045 0.091
Tl 0.188 0.188 0.376

Summary:
D(E_F) = 0.71 states/eV/atom
Relative energy among the computed polymorphs = 0 meV/atom
Calculated volume = 31.067 Å³/atom
DFT total energy = -39.0143 eV/atom
Energy relative to the elements = -0.06 eV/atom

***

[2]
Here is Ba2BeTl at its PBEsol-relaxed geometry from Alexandria. Energies are from SCAN.

Unit cell a=5.756 b=5.756 c=5.756 alpha=60.00 beta=60.00 gamma=60.00
Fractional coordinates of all 4 atoms:
Ba 0.250 0.250 0.250
Be 0.000 0.000 0.000
Ba 0.750 0.750 0.750
Tl 0.500 0.500 0.500

Summary:
D(E_F) = 0.69 states/eV/atom
Relative energy among the computed polymorphs = 78 meV/atom
Calculated volume = 33.712 Å³/atom
DFT total energy = -38.9363 eV/atom
Energy relative to the elements = 0.02 eV/atom

***

[3]
Here is Ba2BeTl at its PBEsol-relaxed geometry from Alexandria. Energies are from SCAN.

Unit cell a=4.163 b=4.163 c=10.135 alpha=78.15 beta=78.15 gamma=60.00
Fractional coordinates of all 4 atoms:
Tl 0.000 0.000 0.000
Ba 0.758 0.758 0.727
Be 0.500 0.500 0.500
Ba 0.242 0.242 0.273

Summary:
D(E_F) = 0.79 states/eV/atom
Relative energy among the computed polymorphs = 322 meV/atom
Calculated volume = 36.951 Å³/atom
DFT total energy = -38.6922 eV/atom
Energy relative to the elements = 0.26 eV/atom

***

[4]
Here is BaBeW at its PBEsol-relaxed geometry from Alexandria. Energies are from SCAN.

Unit cell a=4.649 b=4.649 c=4.649 alpha=60.00 beta=60.00 gamma=60.00
Site moments in Bohr magnetons follow the coordinates.
Fractional coordinates of all 3 atoms:
Ba 0.000 0.000 0.000  0.05
Be 0.500 0.500 0.500  -0.05
W 0.250 0.250 0.250  1.73

Summary:
D(E_F) = 0.13 states/eV/atom
Relative energy among the computed polymorphs = 353 meV/atom
Calculated volume = 23.681 Å³/atom
DFT total energy = -35.8836 eV/atom
Energy relative to the elements = 1.98 eV/atom

***

[5]
Here is BaBeW at its PBEsol-relaxed geometry from Alexandria. Energies are from SCAN.

Unit cell a=3.013 b=4.844 c=4.844 alpha=120.00 beta=90.00 gamma=90.00
Fractional coordinates of all 3 atoms:
Ba 0.500 0.000 0.000
Be 0.000 0.333 0.667
W 0.000 0.667 0.333

Summary:
D(E_F) = 0.88 states/eV/atom
Relative energy among the computed polymorphs = 0 meV/atom
Calculated volume = 20.412 Å³/atom
DFT total energy = -36.2371 eV/atom
Energy relative to the elements = 1.63 eV/atom

***

[6]
Here is Ba2YBe at its PBEsol-relaxed geometry from Alexandria. Energies are from SCAN.

Unit cell a=4.112 b=5.792 c=5.792 alpha=90.00 beta=90.00 gamma=90.00
Fractional coordinates of all 4 atoms:
Ba 0.000 0.500 0.000
Be 0.500 0.500 0.500
Y 0.500 0.000 0.000
Ba 0.000 0.000 0.500

Summary:
D(E_F) = 0.78 states/eV/atom
Calculated volume = 34.485 Å³/atom
DFT total energy = -27.2152 eV/atom
Energy relative to the elements = 0.61 eV/atom

***

[7]
Here is Ba2YBe at its PBEsol-relaxed geometry from Alexandria. Energies are from SCAN.

Unit cell a=3.841 b=3.841 c=9.526 alpha=90.00 beta=90.00 gamma=90.00
Site moments in Bohr magnetons follow the coordinates.
Fractional coordinates of all 4 atoms:
Ba 0.000 0.000 0.196  0.06
Ba 0.000 0.000 0.804  0.06
Y 0.500 0.500 0.500  0.64
Be 0.500 0.500 0.000  -0.04

Summary:
D(E_F) = 1.06 states/eV/atom
Calculated volume = 35.140 Å³/atom
DFT total energy = -27.3691 eV/atom
Energy relative to the elements = 0.46 eV/atom

***

[8]
Here is BaY3Be at its PBEsol-relaxed geometry from Alexandria. Energies are from SCAN.

Unit cell a=5.540 b=5.540 c=5.540 alpha=90.00 beta=90.00 gamma=90.00
Fractional coordinates of all 5 atoms:
Ba 0.000 0.000 0.000
Y 0.000 0.000 0.500
Y 0.500 0.000 0.000
Be 0.500 0.500 0.500
Y 0.000 0.500 0.000

Summary:
D(E_F) = 1.00 states/eV/atom
Calculated volume = 33.998 Å³/atom
DFT total energy = -23.9377 eV/atom
Energy relative to the elements = 1.55 eV/atom

***

[9]
Here is Ba3YBe at its PBEsol-relaxed geometry from Alexandria. Energies are from SCAN.

Unit cell a=6.261 b=6.261 c=6.261 alpha=90.00 beta=90.00 gamma=90.00
Fractional coordinates of all 5 atoms:
Ba 0.000 0.000 0.500
Be 0.500 0.500 0.500
Y 0.000 0.000 0.000
Ba 0.500 0.000 0.000
Ba 0.000 0.500 0.000

Summary:
D(E_F) = 1.49 states/eV/atom
Calculated volume = 49.086 Å³/atom
DFT total energy = -29.0282 eV/atom
Energy relative to the elements = 1.14 eV/atom

***

[10]
Here is BaYBe2 at its PBEsol-relaxed geometry from Alexandria. Energies are from SCAN.

Unit cell a=3.189 b=3.189 c=8.722 alpha=90.00 beta=90.00 gamma=90.00
Site moments in Bohr magnetons follow the coordinates.
Fractional coordinates of all 4 atoms:
Be 0.000 0.000 0.091  0.07
Be 0.500 0.500 0.190  -0.01
Ba 0.500 0.500 0.805  0.03
Y 0.000 0.000 0.414  0.43

Summary:
D(E_F) = 0.77 states/eV/atom
Calculated volume = 22.172 Å³/atom
DFT total energy = -18.4986 eV/atom
Energy relative to the elements = 0.53 eV/atom

***

[11]
Here is Ba2BeZn at its PBEsol-relaxed geometry from Alexandria. Energies are from SCAN.

Unit cell a=5.316 b=5.316 c=5.316 alpha=60.00 beta=60.00 gamma=60.00
Fractional coordinates of all 4 atoms:
Ba 0.000 0.000 0.000
Be 0.500 0.500 0.500
Zn 0.250 0.250 0.250
Ba 0.750 0.750 0.750

Summary:
D(E_F) = 0.02 states/eV/atom
Calculated volume = 26.559 Å³/atom
DFT total energy = -23.8896 eV/atom
Energy relative to the elements = 0.35 eV/atom

***

[12]
Here is BaBe2Zn at its PBEsol-relaxed geometry from Alexandria. Energies are from SCAN.

Unit cell a=4.105 b=4.177 c=5.187 alpha=90.00 beta=90.00 gamma=90.00
Fractional coordinates of all 4 atoms:
Be 0.000 0.245 0.000
Ba 0.500 0.500 0.500
Zn 0.500 0.000 0.000
Be 0.000 0.755 0.000

Summary:
D(E_F) = 0.26 states/eV/atom
Calculated volume = 22.239 Å³/atom
DFT total energy = -15.2646 eV/atom
Energy relative to the elements = 0.18 eV/atom

***

[13]
Here is Ba2ZrBe at its PBEsol-relaxed geometry from Alexandria. Energies are from SCAN.

Unit cell a=3.498 b=4.000 c=9.599 alpha=101.97 beta=100.50 gamma=90.00
Site moments in Bohr magnetons follow the coordinates.
Fractional coordinates of all 4 atoms:
Zr 0.500 0.000 0.000  0.57
Ba 0.652 0.652 0.304  0.02
Be 0.000 0.500 0.000  0.02
Ba 0.348 0.348 0.696  0.02

Summary:
D(E_F) = 0.94 states/eV/atom
Calculated volume = 32.271 Å³/atom
DFT total energy = -28.0740 eV/atom
Energy relative to the elements = 0.46 eV/atom

***

[14]
Here is BaZrBe2 at its PBEsol-relaxed geometry from Alexandria. Energies are from SCAN.

Unit cell a=4.783 b=4.783 c=4.783 alpha=60.00 beta=60.00 gamma=60.00
Site moments in Bohr magnetons follow the coordinates.
Fractional coordinates of all 4 atoms:
Ba 0.500 0.500 0.500  0.22
Zr 0.250 0.250 0.250  1.10
Be 0.000 0.000 0.000  0.06
Be 0.750 0.750 0.750  -0.06

Summary:
D(E_F) = 0.64 states/eV/atom
Relative energy among the computed polymorphs = 615 meV/atom
Calculated volume = 19.341 Å³/atom
DFT total energy = -18.6814 eV/atom
Energy relative to the elements = 1.06 eV/atom

***

[15]
Here is BaZrBe2 at its PBEsol-relaxed geometry from Alexandria. Energies are from SCAN.

Unit cell a=3.593 b=4.119 c=6.565 alpha=108.28 beta=105.88 gamma=90.00
Fractional coordinates of all 4 atoms:
Be 0.641 0.141 0.282
Zr 0.520 0.520 0.040
Ba 0.289 0.789 0.577
Be 0.050 0.050 0.100

Summary:
D(E_F) = 0.73 states/eV/atom
Relative energy among the computed polymorphs = 0 meV/atom
Calculated volume = 22.087 Å³/atom
DFT total energy = -19.2963 eV/atom
Energy relative to the elements = 0.44 eV/atom

***

[16]
Here is Ba2ZrBe at its PBEsol-relaxed geometry from Alexandria. Energies are from SCAN.

Unit cell a=5.401 b=5.413 c=5.401 alpha=119.93 beta=90.00 gamma=119.93
Site moments in Bohr magnetons follow the coordinates.
Fractional coordinates of all 4 atoms:
Be 0.500 0.000 0.500  -0.12
Ba 0.000 0.000 0.000  0.26
Zr 0.250 0.500 0.750  1.11
Ba 0.750 0.500 0.250  0.11

Summary:
D(E_F) = 1.13 states/eV/atom
Calculated volume = 27.970 Å³/atom
DFT total energy = -27.6732 eV/atom
Energy relative to the elements = 0.87 eV/atom

***

[17]
Here is BaZr3Be at its PBEsol-relaxed geometry from Alexandria. Energies are from SCAN.

Unit cell a=4.929 b=4.929 c=4.929 alpha=90.00 beta=90.00 gamma=90.00
Fractional coordinates of all 5 atoms:
Zr 0.000 0.500 0.000
Be 0.000 0.000 0.000
Zr 0.000 0.000 0.500
Ba 0.500 0.500 0.500
Zr 0.500 0.000 0.000

Summary:
D(E_F) = 1.10 states/eV/atom
Calculated volume = 23.950 Å³/atom
DFT total energy = -26.6043 eV/atom
Energy relative to the elements = 0.60 eV/atom

***

[18]
Here is Ba4ZrBe at its PBEsol-relaxed geometry from Alexandria. Energies are from SCAN.

Unit cell a=6.938 b=6.938 c=6.938 alpha=60.00 beta=60.00 gamma=60.00
Site moments in Bohr magnetons follow the coordinates.
Fractional coordinates of all 6 atoms:
Zr 0.000 0.000 0.000  1.53
Be 0.750 0.750 0.750  -0.06
Ba 0.375 0.375 0.874  0.21
Ba 0.375 0.375 0.375  0.21
Ba 0.375 0.874 0.375  0.21
Ba 0.874 0.375 0.375  0.21

Summary:
D(E_F) = 1.49 states/eV/atom
Calculated volume = 39.358 Å³/atom
DFT total energy = -31.1251 eV/atom
Energy relative to the elements = 1.08 eV/atom

***

[19]
Here is Ba4Bi3 at its PBEsol-relaxed geometry from Alexandria. Energies are from SCAN.

Unit cell a=9.120 b=9.120 c=9.120 alpha=109.47 beta=109.47 gamma=109.47
Fractional coordinates of all 14 atoms:
Bi 0.375 0.750 0.125
Ba 0.000 0.500 0.147
Ba 0.147 0.000 0.000
Ba 0.853 0.853 0.353
Bi 0.875 0.125 0.750
Bi 0.125 0.250 0.375
Bi 0.750 0.625 0.875
Ba 0.500 0.147 0.500
Ba 0.647 0.000 0.000
Ba 0.500 0.647 0.500
Ba 0.000 0.500 0.647
Bi 0.250 0.875 0.625
Ba 0.353 0.353 0.853
Bi 0.625 0.375 0.250

Summary:
D(E_F) = 1.12 states/eV/atom
Calculated volume = 41.705 Å³/atom
DFT total energy = -57.3121 eV/atom
Energy relative to the elements = -1.04 eV/atom

***

[20]
Here is Ba11Bi10 at its PBEsol-relaxed geometry from Alexandria. Energies are from SCAN.

Unit cell a=13.239 b=13.461 c=13.239 alpha=60.54 beta=90.00 gamma=119.46
Fractional coordinates of all 42 atoms:
Ba 0.344 0.688 0.656
Bi 0.000 0.000 0.642
Bi 0.111 0.642 0.468
Ba 0.190 0.381 0.060
Bi 0.889 0.358 0.532
Ba 0.396 0.792 0.273
Bi 0.889 0.358 0.111
Bi 0.532 0.642 0.468
Bi 0.250 0.500 0.250
Ba 0.559 0.619 0.190
Ba 0.604 0.208 0.727
Bi 0.642 0.000 0.000
Ba 0.940 0.381 0.810
Ba 0.832 0.000 0.168
Ba 0.396 0.792 0.935
Ba 0.604 0.208 0.065
Bi 0.380 0.000 0.620
Ba 0.832 0.000 0.832
Bi 0.883 0.766 0.117
Bi 0.117 0.234 0.883
Bi 0.468 0.358 0.111
Bi 0.532 0.642 0.889
Ba 0.935 0.208 0.396
Ba 0.727 0.792 0.604
Ba 0.656 0.312 0.344
Bi 0.468 0.358 0.532
Bi 0.000 0.000 0.358
Bi 0.358 0.000 0.000
Bi 0.620 0.000 0.620
Bi 0.111 0.642 0.889
Ba 0.060 0.619 0.190
Ba 0.273 0.208 0.396
Bi 0.380 0.000 0.380
Ba 0.810 0.619 0.441
Ba 0.168 0.000 0.832
Ba 0.810 0.619 0.940
Bi 0.750 0.500 0.750
Ba 0.441 0.381 0.810
Ba 0.065 0.792 0.604
Bi 0.620 0.000 0.380
Ba 0.190 0.381 0.559
Ba 0.168 0.000 0.168

Summary:
D(E_F) = 0.49 states/eV/atom
Calculated volume = 40.366 Å³/atom
DFT total energy = -59.1471 eV/atom
Energy relative to the elements = -1.01 eV/atom